Entry 1:
AlBi2S, optimized geometry, DFT PBE-GGA; DOS at the Fermi energy = 0.3977 states/eV per atom; formation energy without anion corrections = 0.24 eV per atom; crystal system = tetragonal; calculated volume = 34.04 A^3/atom
1.0
6.0332 0.0000 0.0000
0.0000 6.0332 0.0000
3.0166 3.0166 7.4819
Al Bi S
2 4 2
Direct
0.2500 0.7500 0.5000
0.5000 0.5000 0.0000
0.3750 0.3618 0.7500
0.8750 0.8882 0.7500
0.1118 0.6250 0.2500
0.6382 0.1250 0.2500
0.7500 0.2500 0.5000
0.0000 0.0000 0.0000

Entry 2:
AlBiS2, optimized geometry, DFT PBE-GGA; DOS at the Fermi energy = 0.3085 states/eV per atom; formation energy without anion corrections = -0.16 eV per atom; crystal system = tetragonal; calculated volume = 23.00 A^3/atom
1.0
-2.1879 -1.7848 -2.8746
1.9719 -3.4543 0.6440
-3.8670 -1.4867 3.8663
Al S Bi
1 2 1
Direct
0.0000 0.0000 0.5000
0.5000 0.5000 0.5000
0.0000 0.0000 0.0000
0.5000 0.5000 0.0000

Entry 3:
AlBiS2, optimized geometry, DFT PBE-GGA; DOS at the Fermi energy = 0.0557 states/eV per atom; formation energy without anion corrections = 0.06 eV per atom; crystal system = tetragonal; calculated volume = 22.48 A^3/atom
1.0
7.0310 0.0000 0.0000
0.0000 7.0310 0.0000
3.5155 3.5155 3.6373
Bi S Al
2 4 2
Direct
0.2500 0.7500 0.5000
0.7500 0.2500 0.5000
0.7894 0.2894 0.0000
0.2894 0.2106 0.0000
0.2106 0.7106 0.0000
0.7106 0.7894 0.0000
0.7500 0.7500 0.5000
0.2500 0.2500 0.5000

Entry 4:
AlBiS2, optimized geometry, DFT PBE-GGA; DOS at the Fermi energy = 0.4663 states/eV per atom; formation energy without anion corrections = -0.34 eV per atom; crystal system = orthorhombic; calculated volume = 21.69 A^3/atom
1.0
3.6220 12.8786 4.6605
-5.8669 -12.7184 -2.1258
2.4353 -1.4998 2.2517
S Al Bi
4 2 2
Direct
0.1293 0.8707 0.7500
0.7828 0.2172 0.7500
0.8707 0.1293 0.2500
0.2172 0.7828 0.2500
0.6932 0.3068 0.7500
0.3068 0.6932 0.2500
0.0516 0.9484 0.2500
0.9484 0.0516 0.7500

no.,ρ (g/cm3),excess energy over the best structure of this formula in the dataset (eV per formula unit)
1,5.82,0.022
2,5.42,2.362
3,5.54,3.268
4,5.74,1.647